[1]
{"formula": "Rb2LiCr", "functional": "PBE", "state": "optimized geometry", "e_form_mev_per_atom": 827, "total_magnetization_mub_per_fu": 5.2, "space_group": "I-42d", "de_polymorph_ev_per_fu": 0.27, "lattice": [[-5.098, 5.098, 3.627], [5.098, -5.098, 3.627], [5.098, 5.098, -3.627]], "species": ["Rb", "Rb", "Rb", "Rb", "Li", "Li", "Cr", "Cr"], "frac_coords": [[0.118, 0.625, 0.993], [0.375, 0.368, 0.493], [0.632, 0.125, 0.007], [0.875, 0.882, 0.507], [0.250, 0.750, 0.500], [0.500, 0.500, 0.000], [0.000, 0.000, 0.000], [0.750, 0.250, 0.500]]}

***

[2]
{"formula": "Rb2Li2Cr", "functional": "PBE", "state": "optimized geometry", "e_form_mev_per_atom": 1292, "total_magnetization_mub_per_fu": 0.1, "space_group": "P4/mbm", "de_polymorph_ev_per_fu": 3.30, "lattice": [[10.643, 0.000, 0.000], [0.000, 10.643, 0.000], [0.000, 0.000, 3.155]], "species": ["Rb", "Rb", "Rb", "Rb", "Li", "Li", "Li", "Li", "Cr", "Cr"], "frac_coords": [[0.202, 0.298, 0.000], [0.298, 0.798, 0.000], [0.702, 0.202, 0.000], [0.798, 0.702, 0.000], [0.091, 0.591, 0.500], [0.409, 0.091, 0.500], [0.591, 0.909, 0.500], [0.909, 0.409, 0.500], [0.000, 0.000, 0.000], [0.500, 0.500, 0.000]]}

***

[3]
{"formula": "RbLiCrSe3", "functional": "PBE", "state": "optimized geometry", "total_magnetization_mub_per_fu": 2.3, "space_group": "P2_1/m", "raw_formation_energy_ev_per_atom": -0.822, "lattice": [[8.703, 0.000, 0.000], [0.000, 3.804, 0.000], [-4.266, 0.000, 8.994]], "species": ["Rb", "Rb", "Li", "Li", "Cr", "Cr", "Se", "Se", "Se", "Se", "Se", "Se"], "frac_coords": [[0.245, 0.250, 0.270], [0.755, 0.750, 0.730], [0.079, 0.250, 0.606], [0.921, 0.750, 0.394], [0.319, 0.750, 0.845], [0.681, 0.250, 0.155], [0.138, 0.250, 0.868], [0.246, 0.750, 0.573], [0.472, 0.750, 0.127], [0.528, 0.250, 0.873], [0.754, 0.250, 0.427], [0.862, 0.750, 0.132]]}

***

[4]
{"formula": "RbLiCrTe3", "functional": "PBE", "state": "optimized geometry", "total_magnetization_mub_per_fu": 2.5, "space_group": "P2_1/m", "raw_formation_energy_ev_per_atom": -0.599, "lattice": [[9.177, 0.000, 0.000], [0.000, 4.076, 0.000], [-4.408, 0.000, 9.766]], "species": ["Rb", "Rb", "Li", "Li", "Cr", "Cr", "Te", "Te", "Te", "Te", "Te", "Te"], "frac_coords": [[0.031, 0.250, 0.280], [0.969, 0.750, 0.720], [0.471, 0.750, 0.393], [0.529, 0.250, 0.607], [0.478, 0.250, 0.156], [0.522, 0.750, 0.844], [0.265, 0.750, 0.129], [0.317, 0.750, 0.574], [0.338, 0.250, 0.875], [0.662, 0.750, 0.125], [0.683, 0.250, 0.426], [0.735, 0.250, 0.871]]}

***

[5]
{"formula": "Rb2LiVCr", "functional": "PBE", "state": "optimized geometry", "e_form_mev_per_atom": 1151, "total_magnetization_mub_per_fu": 0.3, "space_group": "P4/mmm", "lattice": [[6.885, 0.000, 0.000], [0.000, 6.885, 0.000], [0.000, 0.000, 4.539]], "species": ["Rb", "Rb", "Li", "V", "Cr"], "frac_coords": [[0.000, 0.500, 0.000], [0.500, 0.000, 0.000], [0.000, 0.000, 0.500], [0.500, 0.500, 0.000], [0.500, 0.500, 0.500]]}

***

[6]
{"formula": "LiCr2Re", "functional": "PBE", "state": "optimized geometry", "e_form_mev_per_atom": 354, "total_magnetization_mub_per_fu": 2.9, "space_group": "P4/mmm", "de_polymorph_ev_per_fu": 0.42, "lattice": [[4.171, 0.000, 0.000], [0.000, 4.171, 0.000], [0.000, 0.000, 2.999]], "species": ["Li", "Cr", "Cr", "Re"], "frac_coords": [[0.000, 0.000, 0.000], [0.000, 0.500, 0.500], [0.500, 0.000, 0.500], [0.500, 0.500, 0.000]]}

***

[7]
{"formula": "LiCrRe2", "functional": "PBE", "state": "optimized geometry", "e_form_mev_per_atom": 235, "total_magnetization_mub_per_fu": 0.0, "space_group": "Pm", "de_polymorph_ev_per_fu": 0.16, "lattice": [[2.570, 0.000, 0.000], [0.000, 4.262, 0.000], [-0.828, 0.000, 4.932]], "species": ["Li", "Cr", "Re", "Re"], "frac_coords": [[0.000, 0.000, 0.000], [0.228, 0.500, 0.764], [0.465, 0.000, 0.509], [0.695, 0.500, 0.243]]}

***

[8]
{"formula": "LiCrRe2", "functional": "PBE", "state": "optimized geometry", "e_form_mev_per_atom": 842, "total_magnetization_mub_per_fu": 0.0, "space_group": "I-42d", "de_polymorph_ev_per_fu": 2.58, "lattice": [[-3.402, 3.402, 2.564], [3.402, -3.402, 2.564], [3.402, 3.402, -2.564]], "species": ["Li", "Li", "Cr", "Cr", "Re", "Re", "Re", "Re"], "frac_coords": [[0.000, 0.000, 0.000], [0.750, 0.250, 0.500], [0.250, 0.750, 0.500], [0.500, 0.500, 0.000], [0.157, 0.125, 0.532], [0.375, 0.843, 0.968], [0.593, 0.625, 0.468], [0.875, 0.407, 0.032]]}

***

[9]
{"formula": "Li3CrRe", "functional": "PBE", "state": "optimized geometry", "e_form_mev_per_atom": 1633, "total_magnetization_mub_per_fu": 4.0, "space_group": "Pm-3m", "de_polymorph_ev_per_fu": 0.00, "lattice": [[4.211, 0.000, 0.000], [0.000, 4.211, 0.000], [0.000, 0.000, 4.211]], "species": ["Li", "Li", "Li", "Cr", "Re"], "frac_coords": [[0.000, 0.000, 0.500], [0.000, 0.500, 0.000], [0.500, 0.000, 0.000], [0.000, 0.000, 0.000], [0.500, 0.500, 0.500]]}

***

[10]
{"formula": "LiCr2Re", "functional": "PBE", "state": "optimized geometry", "e_form_mev_per_atom": 338, "total_magnetization_mub_per_fu": 2.2, "space_group": "F-43m", "de_polymorph_ev_per_fu": 0.36, "lattice": [[0.000, 2.938, 2.938], [2.938, 0.000, 2.938], [2.938, 2.938, 0.000]], "species": ["Li", "Cr", "Cr", "Re"], "frac_coords": [[0.000, 0.000, 0.000], [0.250, 0.250, 0.250], [0.500, 0.500, 0.500], [0.750, 0.750, 0.750]]}

***

[11]
{"formula": "LiCr2Re", "functional": "PBE", "state": "optimized geometry", "e_form_mev_per_atom": 305, "total_magnetization_mub_per_fu": 0.0, "space_group": "C2/m", "de_polymorph_ev_per_fu": 0.22, "lattice": [[2.545, -4.212, 0.000], [2.545, 4.212, 0.000], [-0.828, 0.000, 2.356]], "species": ["Li", "Cr", "Cr", "Re"], "frac_coords": [[0.000, 0.000, 0.000], [0.000, 0.500, 0.500], [0.500, 0.000, 0.500], [0.500, 0.500, 0.000]]}

***

[12]
{"formula": "LiCrRe2", "functional": "PBE", "state": "optimized geometry", "e_form_mev_per_atom": 415, "total_magnetization_mub_per_fu": 0.3, "space_group": "P4/mmm", "de_polymorph_ev_per_fu": 0.88, "lattice": [[3.786, 0.000, 0.000], [0.000, 3.786, 0.000], [0.000, 0.000, 3.700]], "species": ["Li", "Cr", "Re", "Re"], "frac_coords": [[0.000, 0.000, 0.000], [0.500, 0.500, 0.000], [0.000, 0.500, 0.500], [0.500, 0.000, 0.500]]}